Entry 1:
## LaMgTaFe (PBE)

Data for an optimized crystal structure of LaMgTaFe.

Summary:
* volume: 319.8 Å³/cell
* crystal system: cubic
* energy above the most stable polymorph in this dataset: 0.0 meV/atom

a b c (Å): 6.838 6.838 6.838
angles (deg): 90.00 90.00 90.00
Space group F-43m (No. 216)
Unique sites:
La  0.000  0.000  0.000
Mg  0.250  0.250  0.750
Ta  0.000  0.000  0.500
Fe  0.250  0.250  0.250

Entry 2:
## PrSi2Pd (PBE)

Data for an optimized crystal structure of PrSi2Pd.

Summary:
* volume: 162.5 Å³/cell
* electronic total energy: -5.783 eV per atom
* crystal system: orthorhombic

a b c (Å): 3.847 5.367 7.869
angles (deg): 90.00 90.00 90.00
Space group Pmc2_1 (No. 26)
Unique sites:
Pr  0.000  0.001  0.000
Si  0.000  0.477  0.750
Si  0.500  0.231  0.251
Pd  0.500  0.500  0.001

Entry 3:
## HoSc3C (PBE)

Data for an optimized crystal structure of HoSc3C.

Summary:
* volume: 103.8 Å³/cell
* electronic total energy: -6.649 eV per atom
* crystal system: cubic

a b c (Å): 4.700 4.700 4.700
angles (deg): 90.00 90.00 90.00
Space group Pm-3m (No. 221)
Unique sites:
Ho  0.000  0.000  0.000
Sc  0.000  0.500  0.500
C  0.500  0.500  0.500

Entry 4:
## GdTaTe (PBE)

Data for an optimized crystal structure of GdTaTe.

Summary:
* volume: 316.1 Å³/cell
* electronic total energy: -6.261 eV per atom
* crystal system: cubic

a b c (Å): 6.812 6.812 6.812
angles (deg): 90.00 90.00 90.00
Space group F-43m (No. 216)
Unique sites:
Gd  0.000  0.000  0.000
Ta  0.000  0.000  0.500
Te  0.250  0.250  0.750

Entry 5:
## Hf2Cu3Pb (PBE)

Data for an optimized crystal structure of Hf2Cu3Pb.

Summary:
* volume: 105.2 Å³/cell
* electronic total energy: -5.770 eV per atom
* crystal system: tetragonal

a b c (Å): 3.311 3.311 9.591
angles (deg): 90.00 90.00 90.00
Space group P4mm (No. 99)
Unique sites:
Hf  0.000  0.000  0.000
Hf  0.500  0.500  0.434
Cu  0.000  0.000  0.279
Cu  0.500  0.500  0.151
Cu  0.500  0.500  0.854
Pb  0.000  0.000  0.666

Entry 6:
## YErNO (PBE)

Data for an optimized crystal structure of YErNO.

Summary:
* volume: 130.6 Å³/cell
* crystal system: orthorhombic
* energy above the most stable polymorph in this dataset: 90.2 meV/atom

a b c (Å): 4.837 3.946 6.843
angles (deg): 90.00 90.00 90.00
Space group Pmma (No. 51)
Unique sites:
Y  0.250  0.000  0.164
Er  0.250  0.500  0.668
N  0.250  0.500  0.339
O  0.250  0.000  0.820

Entry 7:
## Er2Ni (PBE)

Data for an optimized crystal structure of Er2Ni.

Summary:
* energy of formation from the pure elements: -0.21 eV per atom
* volume: 203.1 Å³/cell
* crystal system: hexagonal

a b c (Å): 7.7823 7.7823 3.8725
angles (deg): 90.00 90.00 120.00
Space group P-62m (No. 189)
Unique sites:
Er  0.0000  0.2488  0.0000
Er  0.0000  0.5857  0.5000
Ni  0.0000  0.0000  0.5000
Ni  0.3333  0.6667  0.0000

Entry 8:
## Li2CuTcH6 (PBE)

Data for an optimized crystal structure of Li2CuTcH6.

Summary:
* volume: 155.2 Å³/cell
* crystal system: triclinic
* energy above the most stable polymorph in this dataset: 0.0 meV/atom

a b c (Å): 4.774 5.153 6.737
angles (deg): 72.01 81.67 81.96
Space group P-1 (No. 2)
Unique sites:
Li  0.052  0.297  0.404
Li  0.410  0.335  0.855
Cu  0.123  0.979  0.176
Tc  0.404  0.883  0.711
H  0.154  0.658  0.827
H  0.157  0.210  0.690
H  0.294  0.916  0.441
H  0.320  0.896  0.968
H  0.355  0.319  0.138
H  0.431  0.381  0.370

Entry 9:
## LuAlTc2 (PBE)

Data for an optimized crystal structure of LuAlTc2.

Summary:
* volume: 268.2 Å³/cell
* electronic total energy: -7.315 eV per atom
* crystal system: cubic

a b c (Å): 6.449 6.449 6.449
angles (deg): 90.00 90.00 90.00
Space group F-43m (No. 216)
Unique sites:
Lu  0.000  0.000  0.000
Al  0.250  0.250  0.750
Tc  0.000  0.000  0.500
Tc  0.250  0.250  0.250

Entry 10:
## NaHoCuSe3 (PBE)

Data for an optimized crystal structure of NaHoCuSe3.

Summary:
* volume: 298.0 Å³/cell
* electronic total energy: -4.461 eV per atom
* crystal system: monoclinic

a b c (Å): 8.350 3.989 9.240
angles (deg): 90.00 104.46 90.00
Space group P2_1/m (No. 11)
Unique sites:
Na  0.201  0.250  0.230
Ho  0.321  0.750  0.851
Cu  0.083  0.250  0.594
Se  0.084  0.250  0.858
Se  0.216  0.750  0.525
Se  0.442  0.750  0.168

Entry 11:
## AcLuO3 (PBE)

Data for an optimized crystal structure of AcLuO3.

Summary:
* volume: 335.6 Å³/cell
* electronic total energy: -7.993 eV per atom
* crystal system: orthorhombic

a b c (Å): 6.194 8.921 6.073
angles (deg): 90.00 90.00 90.00
Space group Pnma (No. 62)
Unique sites:
Ac  0.000  0.000  0.000
Lu  0.013  0.250  0.482
O  0.153  0.750  0.826
O  0.154  0.585  0.348

Entry 12:
## BaTmSi2 (PBE)

Data for an optimized crystal structure of BaTmSi2.

Summary:
* volume: 220.4 Å³/cell
* electronic total energy: -4.755 eV per atom
* crystal system: orthorhombic

a b c (Å): 3.915 4.408 12.770
angles (deg): 90.00 90.00 90.00
Space group Amm2 (No. 38)
Unique sites:
Ba  0.000  0.000  0.000
Tm  0.500  0.000  0.735
Si  0.000  0.000  0.267
Si  0.500  0.000  0.384

Entry 13:
## RbHfAu (PBE)

Data for an optimized crystal structure of RbHfAu.

Summary:
* volume: 351.6 Å³/cell
* crystal system: cubic
* energy above the most stable polymorph in this dataset: 733.2 meV/atom

a b c (Å): 7.058 7.058 7.058
angles (deg): 90.00 90.00 90.00
Space group F-43m (No. 216)
Unique sites:
Rb  0.000  0.000  0.000
Hf  0.250  0.250  0.250
Au  0.250  0.250  0.750

Entry 14:
## LuTcNO (PBE)

Data for an optimized crystal structure of LuTcNO.

Summary:
* volume: 110.0 Å³/cell
* crystal system: orthorhombic
* energy above the most stable polymorph in this dataset: 354.3 meV/atom

a b c (Å): 3.292 5.483 6.094
angles (deg): 90.00 90.00 90.00
Space group Pmc2_1 (No. 26)
Unique sites:
Lu  0.000  0.183  0.000
Tc  0.500  0.321  0.457
N  0.500  0.405  0.166
O  0.000  0.164  0.653

Entry 15:
## K2AgIrO6 (PBE)

Data for an optimized crystal structure of K2AgIrO6.

Summary:
* volume: 555.6 Å³/cell
* electronic total energy: -5.051 eV per atom
* crystal system: cubic

a b c (Å): 8.221 8.221 8.221
angles (deg): 90.00 90.00 90.00
Space group Fm-3m (No. 225)
Unique sites:
K  0.250  0.250  0.250
Ag  0.000  0.000  0.000
Ir  0.000  0.000  0.500
O  0.000  0.000  0.272

Entry 16:
## GdErAsI2 (PBE)

Data for an optimized crystal structure of GdErAsI2.

Summary:
* volume: 164.2 Å³/cell
* electronic total energy: -4.858 eV per atom
* crystal system: trigonal

a b c (Å): 4.1740 4.1740 10.8814
angles (deg): 90.00 90.00 120.00
Space group P3m1 (No. 156)
Unique sites:
Gd  0.0000  0.0000  0.0000
Er  0.3333  0.6667  0.2828
As  0.6667  0.3333  0.1458
I  0.0000  0.0000  0.4659
I  0.3333  0.6667  0.8121

Entry 17:
## Pr2Dy2CIBr2Cl2 (PBE)

Data for an optimized crystal structure of Pr2Dy2CIBr2Cl2.

Summary:
* volume: 565.4 Å³/cell
* crystal system: monoclinic
* energy above the most stable polymorph in this dataset: 10.4 meV/atom

a b c (Å): 17.593 3.896 8.525
angles (deg): 90.00 104.63 90.00
Space group C2/m (No. 12)
Unique sites:
Pr  0.149  0.000  0.078
Dy  0.001  0.500  0.809
C  0.000  0.000  0.000
I  0.000  0.000  0.500
Br  0.165  0.500  0.347
Cl  0.164  0.500  0.835

Entry 18:
## Rb4IrO4 (PBE)

Data for an optimized crystal structure of Rb4IrO4.

Summary:
* volume: 386.7 Å³/cell
* crystal system: monoclinic
* energy above the most stable polymorph in this dataset: 0.0 meV/atom

a b c (Å): 9.734 6.532 6.359
angles (deg): 90.00 106.99 90.00
Space group C2/m (No. 12)
Unique sites:
Rb  0.118  0.000  0.349
Rb  0.190  0.500  0.091
Ir  0.000  0.500  0.500
O  0.110  0.291  0.692

Entry 19:
## AcHgNO (PBE)

Data for an optimized crystal structure of AcHgNO.

Summary:
* volume: 221.5 Å³/cell
* crystal system: orthorhombic
* energy above the most stable polymorph in this dataset: 108.2 meV/atom

a b c (Å): 4.515 7.548 6.500
angles (deg): 90.00 90.00 90.00
Space group Pmc2_1 (No. 26)
Unique sites:
Ac  0.000  0.164  0.000
Hg  0.500  0.494  0.692
N  0.500  0.331  0.946
O  0.000  0.103  0.341

Entry 20:
## SmTeO3 (PBE)

Data for an optimized crystal structure of SmTeO3.

Summary:
* volume: 301.3 Å³/cell
* electronic total energy: -6.585 eV per atom
* crystal system: monoclinic

a b c (Å): 6.936 6.378 8.731
angles (deg): 90.00 128.73 90.00
Space group P2_1/c (No. 14)
Unique sites:
Sm  0.069  0.129  0.224
Te  0.398  0.664  0.240
O  0.041  0.706  0.590
O  0.258  0.047  0.810
O  0.282  0.632  0.973

Entry 21:
## ScBe6Au6 (PBE)

Data for an optimized crystal structure of ScBe6Au6.

Summary:
* volume: 354.1 Å³/cell
* electronic total energy: -4.021 eV per atom
* crystal system: orthorhombic

a b c (Å): 4.848 8.447 8.648
angles (deg): 90.00 90.00 90.00
Space group Immm (No. 71)
Unique sites:
Sc  0.000  0.000  0.000
Be  0.000  0.262  0.500
Be  0.250  0.250  0.250
Au  0.000  0.000  0.339
Au  0.000  0.328  0.000
Au  0.000  0.500  0.328

Entry 22:
## AcPmTc (PBE)

Data for an optimized crystal structure of AcPmTc.

Summary:
* energy of formation from the pure elements: 0.98 eV per atom
* volume: 351.4 Å³/cell
* crystal system: cubic

a b c (Å): 7.057 7.057 7.057
angles (deg): 90.00 90.00 90.00
Space group F-43m (No. 216)
Unique sites:
Ac  0.000  0.000  0.000
Pm  0.250  0.250  0.250
Tc  0.000  0.000  0.500

Entry 23:
## ZrCuSbMo (PBE)

Data for an optimized crystal structure of ZrCuSbMo.

Summary:
* volume: 286.3 Å³/cell
* crystal system: cubic
* energy above the most stable polymorph in this dataset: 0.0 meV/atom

a b c (Å): 6.591 6.591 6.591
angles (deg): 90.00 90.00 90.00
Space group F-43m (No. 216)
Unique sites:
Zr  0.000  0.000  0.000
Cu  0.250  0.250  0.750
Sb  0.000  0.000  0.500
Mo  0.250  0.250  0.250